(w)
Entry from the Alexandria database: KIrCl3 after structural relaxation (GGA-PBE).

The mass density is 3.2 g/cm³.

The structure belongs to space group Pm-3m (No. 221); the cell edges are 5.579, 5.579 and 5.579 Å and the angles 90.00°, 90.00° and 90.00°. The distinct sites, in fractional coordinates, are K at (0.000, 0.000, 0.000), Ir at (0.500, 0.500, 0.500) and Cl at (0.000, 0.000, 0.500).

***

(x)
Entry from the Alexandria database: KIrCl3 after structural relaxation (GGA-PBE).

The mass density is 4.7 g/cm³.

The structure belongs to space group Pm-3m (No. 221); the cell edges are 4.914, 4.914 and 4.914 Å and the angles 90.00°, 90.00° and 90.00°. The distinct sites, in fractional coordinates, are K at (0.000, 0.000, 0.000), Ir at (0.500, 0.500, 0.500) and Cl at (0.000, 0.500, 0.500).

***

From most stable to least stable, the computed energies give (x), (w).

***

(w)
Entry from the Alexandria database: KIrCl4 after structural relaxation (GGA-PBE).

The mass density is 4.0 g/cm³.

The structure belongs to space group F-43m (No. 216); the cell edges are 8.535, 8.535 and 8.535 Å and the angles 90.00°, 90.00° and 90.00°. The distinct sites, in fractional coordinates, are K at (0.000, 0.000, 0.000), Ir at (0.250, 0.250, 0.250) and Cl at (0.124, 0.124, 0.624).

***

(x)
Entry from the Alexandria database: KIrCl4 after structural relaxation (GGA-PBE).

The mass density is 3.0 g/cm³.

The structure belongs to space group C2/c (No. 15); the cell edges are 9.074, 14.666 and 6.274 Å and the angles 90.00°, 102.88° and 90.00°. The distinct sites, in fractional coordinates, are K at (0.000, 0.227, 0.250), Ir at (0.000, 0.442, 0.750), Cl at (0.144, 0.445, 0.117) and Cl at (0.159, 0.327, 0.663).

***

From most stable to least stable, the computed energies give (x), (w).

***

(w)
Entry from the Alexandria database: K3IrCl6 after structural relaxation (GGA-PBE).

The mass density is 2.8 g/cm³.

The structure belongs to space group R-3 (No. 148, hexagonal axes); the cell edges are 12.1642, 12.1642 and 14.6978 Å and the angles 90.00°, 90.00° and 120.00°. The distinct sites, in fractional coordinates, are K at (0.0491, 0.2706, 0.2056), Ir at (0.0000, 0.0000, 0.0000), Ir at (0.0000, 0.0000, 0.5000), Cl at (0.0114, 0.1663, 0.4074) and Cl at (0.0326, 0.1740, 0.9067).

***

(x)
Entry from the Alexandria database: K3IrCl6 after structural relaxation (GGA-PBE).

The mass density is 3.0 g/cm³.

The structure belongs to space group P2_1/c (No. 14); the cell edges are 7.313, 7.570 and 12.636 Å and the angles 90.00°, 124.11° and 90.00°. The distinct sites, in fractional coordinates, are K at (0.000, 0.000, 0.000), K at (0.278, 0.072, 0.755), Ir at (0.500, 0.000, 0.500), Cl at (0.184, 0.026, 0.287), Cl at (0.289, 0.670, 0.054) and Cl at (0.395, 0.236, 0.055).

***

From most stable to least stable, the computed energies give (x), (w).

***

(w)
Entry from the Alexandria database: KIrOsCl after structural relaxation (GGA-PBE).

The mass density is 7.3 g/cm³.

The structure belongs to space group Cm (No. 8); the cell edges are 6.880, 3.990 and 7.958 Å and the angles 90.00°, 106.83° and 90.00°. The distinct sites, in fractional coordinates, are K at (0.000, 0.000, 0.000), Ir at (0.222, 0.000, 0.666), Os at (0.028, 0.500, 0.579) and Cl at (0.426, 0.000, 0.272).

***

(x)
Entry from the Alexandria database: KIrOsCl after structural relaxation (GGA-PBE).

The mass density is 7.1 g/cm³.

The structure belongs to space group Cm (No. 8); the cell edges are 6.870, 3.961 and 8.162 Å and the angles 90.00°, 106.31° and 90.00°. The distinct sites, in fractional coordinates, are K at (0.000, 0.000, 0.000), Ir at (0.448, 0.000, 0.352), Os at (0.144, 0.000, 0.440) and Cl at (0.247, 0.000, 0.741).

***

From most stable to least stable, the computed energies give (w), (x).

***

(w)
Entry from the Alexandria database: KPIr2Cl after structural relaxation (GGA-PBE).

The mass density is 7.7 g/cm³.

The structure belongs to space group P4/mmm (No. 123); the cell edges are 4.499, 4.499 and 5.250 Å and the angles 90.00°, 90.00° and 90.00°. The distinct sites, in fractional coordinates, are K at (0.000, 0.000, 0.000), P at (0.500, 0.500, 0.000), Ir at (0.000, 0.500, 0.500) and Cl at (0.500, 0.500, 0.500).

***

(x)
Entry from the Alexandria database: KPIr2Cl after structural relaxation (GGA-PBE).

The mass density is 6.0 g/cm³.

The structure belongs to space group P4/mmm (No. 123); the cell edges are 5.060, 5.060 and 5.329 Å and the angles 90.00°, 90.00° and 90.00°. The distinct sites, in fractional coordinates, are K at (0.000, 0.000, 0.000), P at (0.000, 0.000, 0.500), Ir at (0.000, 0.500, 0.000) and Cl at (0.500, 0.500, 0.500).

***

From most stable to least stable, the computed energies give (w), (x).

***

(w)
Entry from the Alexandria database: KIrS2Cl after structural relaxation (GGA-PBE).

The mass density is 3.3 g/cm³.

The structure belongs to space group P4/mmm (No. 123); the cell edges are 5.547, 5.547 and 5.385 Å and the angles 90.00°, 90.00° and 90.00°. The distinct sites, in fractional coordinates, are K at (0.000, 0.000, 0.000), Ir at (0.500, 0.500, 0.500), S at (0.000, 0.500, 0.000) and Cl at (0.000, 0.000, 0.500).

***

(x)
Entry from the Alexandria database: KIrS2Cl after structural relaxation (GGA-PBE).

The mass density is 4.7 g/cm³.

The structure belongs to space group P4/mmm (No. 123); the cell edges are 4.596, 4.596 and 5.570 Å and the angles 90.00°, 90.00° and 90.00°. The distinct sites, in fractional coordinates, are K at (0.000, 0.000, 0.000), Ir at (0.500, 0.500, 0.500), S at (0.000, 0.500, 0.500) and Cl at (0.500, 0.500, 0.000).

***

From most stable to least stable, the computed energies give (x), (w).

***

(w)
Entry from the Alexandria database: KIrSCl2 after structural relaxation (GGA-PBE).

The mass density is 4.6 g/cm³.

The structure belongs to space group P4/mmm (No. 123); the cell edges are 5.216, 5.216 and 4.409 Å and the angles 90.00°, 90.00° and 90.00°. The distinct sites, in fractional coordinates, are K at (0.000, 0.000, 0.000), Ir at (0.500, 0.500, 0.500), S at (0.500, 0.500, 0.000) and Cl at (0.000, 0.500, 0.500).

***

(x)
Entry from the Alexandria database: KIrSCl2 after structural relaxation (GGA-PBE).

The mass density is 3.2 g/cm³.

The structure belongs to space group P4/mmm (No. 123); the cell edges are 5.489, 5.489 and 5.674 Å and the angles 90.00°, 90.00° and 90.00°. The distinct sites, in fractional coordinates, are K at (0.000, 0.000, 0.000), Ir at (0.500, 0.500, 0.500), S at (0.000, 0.000, 0.500) and Cl at (0.000, 0.500, 0.000).

***

From most stable to least stable, the computed energies give (w), (x).

***

(w)
Entry from the Alexandria database: LaIr2Cl after structural relaxation (GGA-PBE).

The mass density is 9.0 g/cm³.

The structure belongs to space group Pm (No. 6); the cell edges are 3.516, 3.575 and 8.214 Å and the angles 90.00°, 96.56° and 90.00°. The distinct sites, in fractional coordinates, are La at (0.000, 0.000, 0.000), Ir at (0.432, 0.500, 0.744), Ir at (0.912, 0.000, 0.671) and Cl at (0.554, 0.500, 0.203).

***

(x)
Entry from the Alexandria database: LaIr2Cl after structural relaxation (GGA-PBE).

The mass density is 11.3 g/cm³.

The structure belongs to space group P4/mmm (No. 123); the cell edges are 3.820, 3.820 and 5.613 Å and the angles 90.00°, 90.00° and 90.00°. The distinct sites, in fractional coordinates, are La at (0.000, 0.000, 0.000), Ir at (0.000, 0.500, 0.500) and Cl at (0.500, 0.500, 0.000).

***

(y)
Entry from the Alexandria database: LaIr2Cl after structural relaxation (GGA-PBE).

The mass density is 8.0 g/cm³.

The structure belongs to space group Cm (No. 8); the cell edges are 7.766, 3.951 and 7.906 Å and the angles 90.00°, 106.28° and 90.00°. The distinct sites, in fractional coordinates, are La at (0.000, 0.000, 0.000), Ir at (0.241, 0.500, 0.266), Ir at (0.437, 0.000, 0.270) and Cl at (0.251, 0.000, 0.776).

***

(z)
Entry from the Alexandria database: LaIr2Cl after structural relaxation (GGA-PBE).

The mass density is 11.9 g/cm³.

The structure belongs to space group Cmmm (No. 65); the cell edges are 3.752, 5.132 and 8.079 Å and the angles 90.00°, 90.00° and 90.00°. The distinct sites, in fractional coordinates, are La at (0.000, 0.000, 0.000), Ir at (0.000, 0.500, 0.256) and Cl at (0.000, 0.000, 0.500).

***

From most stable to least stable, the computed energies give (y), (w), (x), (z).